No. 1
Below is a relaxed NaCd8Pd4 crystal, with properties calculated at the GGA-PBE level.

Cell lengths 7.3505, 7.3505, 7.3505 Å; angles 99.00, 99.00, 133.39 degrees
Element x y z (fractional)
1 Na 0.0000 0.0000 0.0000
2 Cd 0.0000 0.3269 0.3269
3 Cd 0.0000 0.6731 0.6731
4 Cd 0.2777 0.5000 0.7777
5 Cd 0.3269 0.0000 0.3269
6 Cd 0.5000 0.2777 0.7777
7 Cd 0.5000 0.7223 0.2223
8 Cd 0.6731 0.0000 0.6731
9 Cd 0.7223 0.5000 0.2223
10 Pd 0.0000 0.0000 0.5000
11 Pd 0.0000 0.5000 0.0000
12 Pd 0.5000 0.0000 0.0000
13 Pd 0.5000 0.5000 0.5000

Properties
Formation energy from the elements, meV/atom: -314
E, eV per atom: -2.576

No. 2
Below is a relaxed NaCdPd3 crystal, with properties calculated at the GGA-PBE level.

Cell lengths 4.6521, 4.6521, 4.6521 Å; angles 90.00, 90.00, 90.00 degrees
Element x y z (fractional)
1 Na 0.0000 0.0000 0.0000
2 Cd 0.5000 0.5000 0.5000
3 Pd 0.0000 0.0000 0.5000
4 Pd 0.0000 0.5000 0.0000
5 Pd 0.5000 0.0000 0.0000

Properties
Formation energy from the elements, meV/atom: 689
E, eV per atom: -2.874

No. 3
Below is a relaxed Na2CdPd crystal, with properties calculated at the GGA-PBE level.

Cell lengths 3.0378, 3.0378, 33.0074 Å; angles 90.00, 90.00, 120.00 degrees
Element x y z (fractional)
1 Na 0.0000 0.0000 0.0812
2 Na 0.0000 0.0000 0.9188
3 Na 0.3333 0.6667 0.5854
4 Na 0.3333 0.6667 0.7479
5 Na 0.6667 0.3333 0.2521
6 Na 0.6667 0.3333 0.4146
7 Cd 0.0000 0.0000 0.5000
8 Cd 0.3333 0.6667 0.1667
9 Cd 0.6667 0.3333 0.8333
10 Pd 0.0000 0.0000 0.0000
11 Pd 0.3333 0.6667 0.6667
12 Pd 0.6667 0.3333 0.3333

Properties
Formation energy from the elements, meV/atom: 139
E, eV per atom: -2.048